Record 1
A plane-wave DFT calculation with PBE was carried out for a relaxed structure of KSr2Ag.

Properties
As for the energy: -0.0690 hartree per atom. The total magnetization comes out at 0.0 μB/f.u. For the formation energy, the calculation gives -0.049 eV per atom. The density of states at the Fermi level comes out at 0.68 states/eV per atom.

Lattice parameters (Å, degrees): 4.578 4.402 9.916 90.00 103.29 90.00
Element x y z (fractional)
K (0.000, 0.000, 0.000)
Sr (0.327, 0.500, 0.656)
Sr (0.685, 0.000, 0.373)
Ag (0.152, 0.500, 0.308)

Record 2
A plane-wave DFT calculation with PBE was carried out for a relaxed structure of NbInNi2.

Properties
As for the energy: -0.2253 hartree per atom. The total magnetization comes out at 0.0 μB/f.u. For the formation energy, the calculation gives -0.038 eV per atom. The density of states at the Fermi level comes out at 0.89 states/eV per atom.

Lattice parameters (Å, degrees): 4.584 4.584 2.870 90.00 90.00 90.00
Element x y z (fractional)
Nb (0.000, 0.000, 0.000)
In (0.500, 0.500, 0.000)
Ni (0.000, 0.500, 0.500)
Ni (0.500, 0.000, 0.500)

Which of these has the highest energy? KSr2Ag

The highest energy belongs to which entry? KSr2Ag

The highest energy belongs to which entry? KSr2Ag

Please write out number 2 again, unchanged.
A plane-wave DFT calculation with PBE was carried out for a relaxed structure of NbInNi2.

Properties
As for the energy: -0.2253 hartree per atom. The total magnetization comes out at 0.0 μB/f.u. For the formation energy, the calculation gives -0.038 eV per atom. The density of states at the Fermi level comes out at 0.89 states/eV per atom.

Lattice parameters (Å, degrees): 4.584 4.584 2.870 90.00 90.00 90.00
Element x y z (fractional)
Nb (0.000, 0.000, 0.000)
In (0.500, 0.500, 0.000)
Ni (0.000, 0.500, 0.500)
Ni (0.500, 0.000, 0.500)